1.
The following is a DFT calculation (PBE) of crystalline Pu6TcSb10 at its relaxed geometry.

Calculated values
Volume in Å³ per atom: 25.57
Fermi-level density of states in states/eV per atom: 3.1164

extended XYZ file:
```
17
Lattice="9.079 0.000 0.000 -4.540 7.863 0.000 0.000 0.000 6.089" Properties=species:S:1:pos:R:3 pbc="T T T"
Pu -1.756 3.041 1.549
Pu -2.784 4.822 4.540
Pu 3.512 0.000 1.549
Pu 1.756 3.041 4.540
Pu 5.568 0.000 4.540
Pu 2.784 4.822 1.549
Tc 0.000 0.000 3.044
Sb -1.100 1.905 4.675
Sb -3.440 5.958 1.414
Sb 2.200 0.000 4.675
Sb 1.100 1.905 1.414
Sb 0.000 5.242 0.000
Sb 0.000 5.242 3.044
Sb 4.540 2.621 0.000
Sb 4.540 2.621 3.044
Sb 6.879 0.000 1.414
Sb 3.440 5.958 4.675
```

***

2.
The following is a DFT calculation (PBE) of crystalline Pu2TcSb at its relaxed geometry.

Calculated values
Volume in Å³ per atom: 21.99
Fermi-level density of states in states/eV per atom: 2.5787
Offset from the most stable computed form in meV per atom: 0

extended XYZ file:
```
4
Lattice="3.862 0.000 0.000 0.000 3.862 0.000 0.000 0.000 5.896" Properties=species:S:1:pos:R:3 pbc="T T T"
Pu 0.000 0.000 1.409
Pu 0.000 0.000 4.487
Tc 1.931 1.931 0.000
Sb 1.931 1.931 2.948
```

***

3.
The following is a DFT calculation (PBE) of crystalline PuTcSb2 at its relaxed geometry.

Calculated values
Volume in Å³ per atom: 22.54
Fermi-level density of states in states/eV per atom: 2.9346
Offset from the most stable computed form in meV per atom: 0

extended XYZ file:
```
4
Lattice="2.284 1.319 4.987 -2.284 1.319 4.987 0.000 -2.638 4.987" Properties=species:S:1:pos:R:3 pbc="T T T"
Pu 0.000 0.000 0.000
Tc 0.000 0.000 7.480
Sb 0.000 0.000 3.397
Sb 0.000 0.000 11.564
```

***

4.
The following is a DFT calculation (PBE) of crystalline Pu2SbTe5 at its relaxed geometry.

Calculated values
Volume in Å³ per atom: 30.03
Fermi-level density of states in states/eV per atom: 2.8013

extended XYZ file:
```
16
Lattice="8.522 0.000 0.000 0.000 12.542 0.000 0.000 0.000 4.495" Properties=species:S:1:pos:R:3 pbc="T T T"
Pu 0.655 2.132 0.000
Pu 3.606 8.403 0.000
Pu 4.916 4.139 0.000
Pu 7.867 10.410 0.000
Sb 0.000 6.271 2.247
Sb 4.261 0.000 2.247
Te 0.000 0.000 2.247
Te 1.278 8.942 2.247
Te 1.766 5.370 0.000
Te 2.495 11.641 0.000
Te 2.983 2.671 2.247
Te 4.261 6.271 2.247
Te 5.539 9.871 2.247
Te 6.027 0.901 0.000
Te 6.756 7.173 0.000
Te 7.244 3.600 2.247
```

***

| no. | ΔE_f (raw) (eV/atom) |
| --- | --- |
| 1 | -0.49 |
| 2 | -0.22 |
| 3 | -0.20 |
| 4 | -0.65 |